# 1
VASP calculation (PBE) on Sc2BeCu3 after structural relaxation.

a b c (Å): 5.0609 5.0609 7.8547
angles (deg): 90.00 90.00 120.00
Last column: nearest neighbours and their distance in Å.
Element x y z (fractional)
1 Sc 0.3333 0.6667 0.0543  9 Cu 2.81-2.96, 3 Be 2.95, 4 Sc 3.04-3.07
2 Sc 0.3333 0.6667 0.4457  9 Cu 2.81-2.96, 3 Be 2.95, 4 Sc 3.04-3.07
3 Sc 0.6667 0.3333 0.5543  9 Cu 2.81-2.96, 3 Be 2.95, 4 Sc 3.04-3.07
4 Sc 0.6667 0.3333 0.9457  9 Cu 2.81-2.96, 3 Be 2.95, 4 Sc 3.04-3.07
5 Be 0.0000 0.0000 0.0000  6 Cu 2.44
6 Be 0.0000 0.0000 0.5000  6 Cu 2.44
7 Cu 0.1649 0.3299 0.7500  2 Be 2.44, 4 Cu 2.50-2.56
8 Cu 0.1649 0.8351 0.7500  2 Be 2.44, 4 Cu 2.50-2.56
9 Cu 0.3299 0.1649 0.2500  2 Be 2.44, 4 Cu 2.50-2.56
10 Cu 0.6701 0.8351 0.7500  2 Be 2.44, 4 Cu 2.50-2.56
11 Cu 0.8351 0.1649 0.2500  2 Be 2.44, 4 Cu 2.50-2.56
12 Cu 0.8351 0.6701 0.2500  2 Be 2.44, 4 Cu 2.50-2.56

**Crystal system**: hexagonal
**SG**: P6_3/mmc, No. 194
**VASP energy**: -5.00 eV/atom

# 2
VASP calculation (PBE) on ScBe4Cu2 after structural relaxation.

a b c (Å): 4.6730 4.6730 4.7091
angles (deg): 119.88 119.88 75.74
Last column: nearest neighbours and their distance in Å.
Element x y z (fractional)
1 Sc 0.0000 0.0000 0.0000  12 Be 2.55-2.79
2 Be 0.0003 0.3704 0.6829  2 Be 2.12
3 Be 0.9997 0.6296 0.3171  2 Be 2.12
4 Be 0.3704 0.0003 0.6829  2 Be 2.12
5 Be 0.6296 0.9997 0.3171  2 Be 2.12
6 Cu 0.4987 0.4987 0.2488  2 Cu 2.35-2.36, 8 Be 2.39-2.41
7 Cu 0.5013 0.5013 0.7512  2 Cu 2.35-2.36, 8 Be 2.39-2.41

**Crystal system**: monoclinic
**SG**: C2/m, No. 12
**VASP energy**: -4.33 eV/atom

# 3
VASP calculation (PBE) on ScBeCu3 after structural relaxation.

a b c (Å): 5.7728 5.7728 4.6796
angles (deg): 90.00 90.00 120.00
Last column: nearest neighbours and their distance in Å.
Element x y z (fractional)
1 Sc 0.3333 0.6667 0.2500  12 Cu 2.76-2.89
2 Sc 0.6667 0.3333 0.7500  12 Cu 2.76-2.89
3 Be 0.0000 0.0000 0.0000  6 Cu 2.21, 2 Be 2.34
4 Be 0.0000 0.0000 0.5000  6 Cu 2.21, 2 Be 2.34
5 Cu 0.1877 0.3755 0.7500  2 Be 2.21
6 Cu 0.1877 0.8123 0.7500  2 Be 2.21
7 Cu 0.3755 0.1877 0.2500  2 Be 2.21
8 Cu 0.6245 0.8123 0.7500  2 Be 2.21
9 Cu 0.8123 0.1877 0.2500  2 Be 2.21
10 Cu 0.8123 0.6245 0.2500  2 Be 2.21

**Crystal system**: hexagonal
**SG**: P6_3/mmc, No. 194
**VASP energy**: -4.58 eV/atom
**Polymorph energy (0 for the lowest one)**: 0 meV/atom

# 4
VASP calculation (PBE) on ScBe2Cu after structural relaxation.

a b c (Å): 3.7485 3.7485 4.9275
angles (deg): 112.25 112.25 59.96
Last column: nearest neighbours and their distance in Å.
Element x y z (fractional)
1 Sc 0.0000 0.0000 0.0000  8 Be 2.64-2.81
2 Be 0.1987 0.1987 0.5956  3 Cu 2.20-2.21, 3 Be 2.32-2.33
3 Be 0.8013 0.8013 0.4044  3 Cu 2.20-2.21, 3 Be 2.32-2.33
4 Cu 0.5000 0.5000 0.5000  6 Be 2.20-2.21

**Crystal system**: monoclinic
**SG**: C2/m, No. 12
**VASP energy**: -4.57 eV/atom
**Polymorph energy (0 for the lowest one)**: 0 meV/atom

# 5
VASP calculation (PBE) on ScBeCu11 after structural relaxation.

a b c (Å): 6.3460 6.3460 6.3069
angles (deg): 97.52 97.52 136.39
Last column: nearest neighbours and their distance in Å.
Element x y z (fractional)
1 Sc 0.0000 0.0000 0.0000  18 Cu 2.93-3.17, 2 Be 3.20
2 Be 0.5000 0.5000 0.5000  10 Cu 2.33-2.53
3 Cu 0.0000 0.0000 0.5000  2 Be 2.36, 8 Cu 2.42-2.50
4 Cu 0.0000 0.5000 0.0000  10 Cu 2.36-2.58
5 Cu 0.0016 0.3501 0.3551  8 Cu 2.47-2.70, 1 Be 2.53
6 Cu 0.2954 0.5078 0.7775  1 Be 2.33, 5 Cu 2.42-2.55
7 Cu 0.3501 0.0016 0.3551  8 Cu 2.47-2.70, 1 Be 2.53
8 Cu 0.4922 0.7046 0.2225  1 Be 2.33, 5 Cu 2.42-2.55
9 Cu 0.5000 0.0000 0.0000  10 Cu 2.36-2.58
10 Cu 0.5078 0.2954 0.7775  1 Be 2.33, 5 Cu 2.42-2.55
11 Cu 0.6499 0.9984 0.6449  8 Cu 2.47-2.70, 1 Be 2.53
12 Cu 0.7046 0.4922 0.2225  1 Be 2.33, 5 Cu 2.42-2.55
13 Cu 0.9984 0.6499 0.6449  8 Cu 2.47-2.70, 1 Be 2.53

**Crystal system**: monoclinic
**SG**: C2/m, No. 12
**VASP energy**: -4.31 eV/atom

# 6
VASP calculation (PBE) on ScBe2Cu after structural relaxation.

a b c (Å): 8.1548 8.1548 8.1548
angles (deg): 151.79 151.79 40.32
Last column: nearest neighbours and their distance in Å.
Element x y z (fractional)
1 Sc 0.3750 0.6250 0.7500  4 Cu 2.81, 8 Be 2.93
2 Sc 0.6250 0.3750 0.2500  4 Cu 2.81, 8 Be 2.93
3 Be 0.0000 0.0000 0.0000  2 Be 1.99, 2 Cu 2.16
4 Be 0.0000 0.0000 0.5000  2 Be 1.99, 2 Cu 2.16
5 Be 0.0000 0.5000 0.0000  2 Be 1.99, 2 Cu 2.16
6 Be 0.5000 0.0000 0.5000  2 Be 1.99, 2 Cu 2.16
7 Cu 0.1250 0.8750 0.2500  4 Be 2.16
8 Cu 0.8750 0.1250 0.7500  4 Be 2.16

**Crystal system**: tetragonal
**SG**: I4_1/amd, No. 141
**VASP energy**: -4.27 eV/atom
**Polymorph energy (0 for the lowest one)**: 297 meV/atom

# 7
VASP calculation (PBE) on ScBeCu after structural relaxation.

a b c (Å): 5.0538 5.0538 6.4597
angles (deg): 129.69 129.69 46.90
Last column: nearest neighbours and their distance in Å.
Element x y z (fractional)
1 Sc 0.0577 0.0577 0.3029  6 Be 2.74-2.94, 6 Cu 2.76-2.99
2 Sc 0.9423 0.9423 0.6971  6 Be 2.74-2.94, 6 Cu 2.76-2.99
3 Be 0.3452 0.3452 0.2869  1 Be 2.20, 3 Cu 2.30-2.37
4 Be 0.6548 0.6548 0.7131  1 Be 2.20, 3 Cu 2.30-2.37
5 Cu 0.3217 0.3217 0.8967  3 Be 2.30-2.37, 1 Cu 2.56
6 Cu 0.6783 0.6783 0.1033  3 Be 2.30-2.37, 1 Cu 2.56

**Crystal system**: monoclinic
**SG**: C2/m, No. 12
**VASP energy**: -4.90 eV/atom
**Polymorph energy (0 for the lowest one)**: 0 meV/atom

# 8
VASP calculation (PBE) on SmScBeCu after structural relaxation.

a b c (Å): 4.7838 4.7838 4.7838
angles (deg): 60.00 60.00 60.00
Last column: nearest neighbours and their distance in Å.
Element x y z (fractional)
1 Sm 0.0000 0.0000 0.0000  4 Be 2.93, 4 Cu 2.93
2 Sc 0.5000 0.5000 0.5000  4 Be 2.93, 4 Cu 2.93
3 Be 0.7500 0.7500 0.7500  4 Sc 2.93, 4 Sm 2.93
4 Cu 0.2500 0.2500 0.2500  4 Sc 2.93, 4 Sm 2.93

**Crystal system**: cubic
**SG**: F-43m, No. 216
**VASP energy**: -4.75 eV/atom

# 9
VASP calculation (PBE) on SrScBe2Cu after structural relaxation.

a b c (Å): 4.8564 4.8564 5.9873
angles (deg): 90.00 90.00 90.00
Last column: nearest neighbours and their distance in Å.
Element x y z (fractional)
1 Sr 0.0000 0.0000 0.0000  2 Sc 2.99
2 Sc 0.0000 0.0000 0.5000  4 Be 2.43
3 Be 0.0000 0.5000 0.5000  2 Sc 2.43
4 Be 0.5000 0.0000 0.5000  2 Sc 2.43
5 Cu 0.5000 0.5000 0.0000  4 Sr 3.43

**Crystal system**: tetragonal
**SG**: P4/mmm, No. 123
**VASP energy**: -2.38 eV/atom

# 10
VASP calculation (PBE) on ScBeCuTc2 after structural relaxation.

a b c (Å): 4.6105 4.6105 3.8324
angles (deg): 90.00 90.00 90.00
Last column: nearest neighbours and their distance in Å.
Element x y z (fractional)
1 Sc 0.0000 0.0000 0.0000  8 Tc 3.00, 4 Be 3.26
2 Be 0.5000 0.5000 0.0000  2 Cu 1.92
3 Cu 0.5000 0.5000 0.5000  2 Be 1.92
4 Tc 0.0000 0.5000 0.5000  2 Cu 2.31
5 Tc 0.5000 0.0000 0.5000  2 Cu 2.31

**Crystal system**: tetragonal
**SG**: P4/mmm, No. 123
**VASP energy**: -6.15 eV/atom

# 11
VASP calculation (PBE) on ThScBeCu after structural relaxation.

a b c (Å): 4.8348 4.8348 4.8348
angles (deg): 60.00 60.00 60.00
Last column: nearest neighbours and their distance in Å.
Element x y z (fractional)
1 Th 0.0000 0.0000 0.0000  4 Be 2.96, 4 Cu 2.96
2 Sc 0.5000 0.5000 0.5000  4 Be 2.96, 4 Cu 2.96
3 Be 0.7500 0.7500 0.7500  4 Th 2.96, 4 Sc 2.96
4 Cu 0.2500 0.2500 0.2500  4 Th 2.96, 4 Sc 2.96

**Crystal system**: cubic
**SG**: F-43m, No. 216
**VASP energy**: -5.37 eV/atom

# 12
VASP calculation (PBE) on TmScBeCu after structural relaxation.

a b c (Å): 4.6819 4.6819 4.6819
angles (deg): 60.00 60.00 60.00
Last column: nearest neighbours and their distance in Å.
Element x y z (fractional)
1 Tm 0.0000 0.0000 0.0000  4 Cu 2.87, 4 Be 2.87
2 Sc 0.5000 0.5000 0.5000  4 Be 2.87, 4 Cu 2.87
3 Be 0.2500 0.2500 0.2500  4 Sc 2.87, 4 Tm 2.87
4 Cu 0.7500 0.7500 0.7500  4 Tm 2.87, 4 Sc 2.87

**Crystal system**: cubic
**SG**: F-43m, No. 216
**VASP energy**: -4.76 eV/atom

# 13
VASP calculation (PBE) on YScBeCu after structural relaxation.

a b c (Å): 4.7308 4.7308 4.7308
angles (deg): 60.00 60.00 60.00
Last column: nearest neighbours and their distance in Å.
Element x y z (fractional)
1 Y 0.0000 0.0000 0.0000  4 Be 2.90, 4 Cu 2.90
2 Sc 0.5000 0.5000 0.5000  4 Be 2.90, 4 Cu 2.90
3 Be 0.7500 0.7500 0.7500  4 Sc 2.90, 4 Y 2.90
4 Cu 0.2500 0.2500 0.2500  4 Sc 2.90, 4 Y 2.90

**Crystal system**: cubic
**SG**: F-43m, No. 216
**VASP energy**: -5.23 eV/atom

| no. | ΔH_f (0 K) (meV/atom) |
| --- | --- |
| 1 | -223 |
| 2 | -131 |
| 3 | -111 |
| 4 | -97 |
| 5 | -71 |
| 6 | 200 |
| 7 | -177 |
| 8 | -30 |
| 9 | 1534 |
| 10 | 830 |
| 11 | 23 |
| 12 | -103 |
| 13 | -78 |